# PbSeS2Cl, optimized geometry, DFT PBE
data_PbSeS2Cl
_chemical_formula_sum 'Pb1 Se1 S2 Cl1'
_cell_length_a 5.3457
_cell_length_b 5.3457
_cell_length_c 5.5102
_cell_angle_alpha 90.00
_cell_angle_beta 90.00
_cell_angle_gamma 90.00
_symmetry_space_group_name_H-M 'P 4/m m m'
_symmetry_Int_Tables_number 123
_symmetry_space_group_name_Hall '-P 4 2'
loop_
_atom_site_label
_atom_site_type_symbol
_atom_site_fract_x
_atom_site_fract_y
_atom_site_fract_z
Pb1 Pb 0.0000 0.0000 0.0000
Se1 Se 0.5000 0.5000 0.5000
S1 S 0.0000 0.5000 0.0000
Cl1 Cl 0.0000 0.0000 0.5000
# - N(E_F): 5.92 states/eV/f.u.
# - ΔE_f (raw): 294 kJ/mol of formula units
# - M_tot: 3.683 μB/cell
# - Calculated density: 4.07 g cm⁻³
# - Energy above the lowest structure with this stoichiometry: 0.591 eV per atom